No. 1
This record from Alexandria describes crystalline ZnFe2Se at its relaxed geometry. The functional is GGA-PBE.

a = 6.5753 Å, b = 6.5753 Å, c = 5.3468 Å
α = 52.06°, β = 52.06°, γ = 90.00°
With the nearest neighbours (Å) after each atom.
Atoms (fractional coordinates):
Fe 0.8750 0.9233 0.7500  2 Se 2.21
Fe 0.6733 0.1250 0.2500  2 Se 2.21
Zn 0.2500 0.7500 0.5000  2 Se 2.64, 8 Fe 2.64-2.90
Zn 0.5000 0.5000 0.0000  2 Se 2.64, 8 Fe 2.64-2.90
Se 0.7500 0.2500 0.5000  4 Fe 2.21
Fe 0.3750 0.3267 0.7500  2 Se 2.21
Se 0.0000 0.0000 0.0000  4 Fe 2.21
Fe 0.0767 0.6250 0.2500  2 Se 2.21

Calculated values
ΔE to the lowest computed polymorph = 197 kJ/mol of formula units



No. 2
This record from Alexandria describes crystalline ZnFeSe2 at its relaxed geometry. The functional is GGA-PBE.

a = 3.6483 Å, b = 3.6483 Å, c = 6.6978 Å
α = 74.18°, β = 74.18°, γ = 59.86°
With the nearest neighbours (Å) after each atom.
Atoms (fractional coordinates):
Se 0.5045 0.5045 0.4897  3 Fe 2.59-2.61, 3 Zn 2.67-2.68
Zn 0.7500 0.7500 0.7500  6 Se 2.67-2.68
Fe 0.2500 0.2500 0.2500  6 Se 2.59-2.61
Se 0.9955 0.9955 0.0103  3 Fe 2.59-2.61, 3 Zn 2.67-2.68



No. 3
This record from Alexandria describes crystalline ZnFe2Se at its relaxed geometry. The functional is GGA-PBE.

a = 4.1149 Å, b = 4.1149 Å, c = 4.1149 Å
α = 60.00°, β = 60.00°, γ = 60.00°
With the nearest neighbours (Å) after each atom.
Atoms (fractional coordinates):
Fe 0.2500 0.2500 0.2500  4 Se 2.52, 4 Zn 2.52
Fe 0.7500 0.7500 0.7500  4 Se 2.52, 4 Zn 2.52
Se 0.5000 0.5000 0.5000  8 Fe 2.52
Zn 0.0000 0.0000 0.0000  8 Fe 2.52

Calculated values
ΔE to the lowest computed polymorph = 104 kJ/mol of formula units



No. 4
This record from Alexandria describes crystalline ZnFeSe2 at its relaxed geometry. The functional is GGA-PBE.

a = 7.5659 Å, b = 7.5659 Å, c = 7.5659 Å
α = 27.51°, β = 27.51°, γ = 27.51°
With the nearest neighbours (Å) after each atom.
Atoms (fractional coordinates):
Zn 0.0000 0.0000 0.0000  2 Se 2.43
Se 0.8886 0.8886 0.8886  3 Fe 2.40, 1 Zn 2.43
Fe 0.5000 0.5000 0.5000  6 Se 2.40
Se 0.1114 0.1114 0.1114  3 Fe 2.40, 1 Zn 2.43



What formation energy without anion corrections values result from the calculations? In sequence: 0.585 -0.171 0.346 -0.080 eV/atom.